Here is crystalline Pm3Nd8Th2 at its relaxed geometry from the Alexandria database. Energies are from PBE-GGA.

Lattice parameters (Å, degrees): 6.046 9.071 17.707 100.65 90.49 106.83
Space group P-1 (No. 2)
Symmetry-distinct sites (fractional):
Pm  0.000  0.000  0.000 (multiplicity 1)
Pm  0.229  0.284  0.294 (multiplicity 2)
Pm  0.238  0.420  0.731 (multiplicity 2)
Pm  0.500  0.000  0.500 (multiplicity 1)
Nd  0.013  0.036  0.608 (multiplicity 2)
Nd  0.053  0.073  0.817 (multiplicity 2)
Nd  0.220  0.455  0.141 (multiplicity 2)
Nd  0.263  0.340  0.509 (multiplicity 2)
Nd  0.269  0.721  0.615 (multiplicity 2)
Nd  0.384  0.803  0.854 (multiplicity 2)
Nd  0.397  0.799  0.065 (multiplicity 2)
Nd  0.430  0.872  0.277 (multiplicity 2)
Th  0.216  0.430  0.946 (multiplicity 2)
Th  0.218  0.629  0.403 (multiplicity 2)

Properties
Total magnetic moment in μB per formula unit: 0.00
DOS(E_F) in states/eV/atom: 1.45
DFT total energy in eV/cell: -131.72
Theoretical density in g cm⁻³: 7.5

=====

Here is crystalline PmNdTh at its relaxed geometry from the Alexandria database. Energies are from PBE-GGA.

Lattice parameters (Å, degrees): 6.532 3.494 8.942 90.00 90.00 90.00
Space group Pmma (No. 51)
Symmetry-distinct sites (fractional):
Pm  0.000  0.000  0.000 (multiplicity 2)
Nd  0.250  0.500  0.315 (multiplicity 2)
Th  0.250  0.000  0.654 (multiplicity 2)

Properties
Total magnetic moment in μB per formula unit: 0.00
DOS(E_F) in states/eV/atom: 1.54
Distance to the lowest polymorph of the same formula in eV/atom: 0.2037
DFT total energy in eV/cell: -32.52
Theoretical density in g cm⁻³: 8.5

=====

Here is crystalline PmNd3Th2 at its relaxed geometry from the Alexandria database. Energies are from PBE-GGA.

Lattice parameters (Å, degrees): 17.552 6.712 6.981 90.00 90.00 90.00
Space group Cmcm (No. 63)
Symmetry-distinct sites (fractional):
Pm  0.000  0.239  0.250 (multiplicity 4)
Nd  0.000  0.248  0.750 (multiplicity 4)
Nd  0.179  0.498  0.250 (multiplicity 8)
Th  0.153  0.000  0.000 (multiplicity 8)

Properties
Total magnetic moment in μB per formula unit: 0.00
DOS(E_F) in states/eV/atom: 1.79
Distance to the lowest polymorph of the same formula in eV/atom: 0.1101
DFT total energy in eV/cell: -131.29
Theoretical density in g cm⁻³: 8.4

=====

Here is crystalline Pm4Nd3Th2 at its relaxed geometry from the Alexandria database. Energies are from PBE-GGA.

Lattice parameters (Å, degrees): 3.6147 3.6147 27.4233 90.00 90.00 120.00
Space group P3m1 (No. 156)
Symmetry-distinct sites (fractional):
Pm  0.0000  0.0000  0.0000 (multiplicity 1)
Pm  0.0000  0.0000  0.2197 (multiplicity 1)
Pm  0.3333  0.6667  0.3280 (multiplicity 1)
Pm  0.3333  0.6667  0.5502 (multiplicity 1)
Nd  0.0000  0.0000  0.4385 (multiplicity 1)
Nd  0.3333  0.6667  0.1068 (multiplicity 1)
Nd  0.3333  0.6667  0.7673 (multiplicity 1)
Th  0.0000  0.0000  0.6574 (multiplicity 1)
Th  0.0000  0.0000  0.8767 (multiplicity 1)

Properties
Total magnetic moment in μB per formula unit: 0.00
DOS(E_F) in states/eV/atom: 1.80
Distance to the lowest polymorph of the same formula in eV/atom: 0.0271
DFT total energy in eV/cell: -47.33
Theoretical density in g cm⁻³: 7.9

=====

Here is crystalline Pm3Nd8Th at its relaxed geometry from the Alexandria database. Energies are from PBE-GGA.

Lattice parameters (Å, degrees): 6.502 9.035 14.641 90.00 90.00 90.00
Space group I222 (No. 23)
Symmetry-distinct sites (fractional):
Pm  0.000  0.000  0.000 (multiplicity 2)
Pm  0.000  0.500  0.382 (multiplicity 4)
Nd  0.131  0.332  0.902 (multiplicity 8)
Nd  0.156  0.148  0.713 (multiplicity 8)
Th  0.000  0.000  0.500 (multiplicity 2)

Properties
Total magnetic moment in μB per formula unit: 0.00
DOS(E_F) in states/eV/atom: 1.59
DFT total energy in eV/cell: -112.50
Theoretical density in g cm⁻³: 7.0

=====

Here is crystalline PmNd2Th at its relaxed geometry from the Alexandria database. Energies are from PBE-GGA.

Lattice parameters (Å, degrees): 3.634 3.634 10.408 90.00 90.00 90.00
Space group P4/mmm (No. 123)
Symmetry-distinct sites (fractional):
Pm  0.000  0.000  0.000 (multiplicity 1)
Nd  0.500  0.500  0.261 (multiplicity 2)
Th  0.000  0.000  0.500 (multiplicity 1)

Properties
Total magnetic moment in μB per formula unit: 0.00
DOS(E_F) in states/eV/atom: 1.27
Distance to the lowest polymorph of the same formula in eV/atom: 0.0124
DFT total energy in eV/cell: -21.55
Theoretical density in g cm⁻³: 8.0

=====

Here is crystalline Pm6NdTh2 at its relaxed geometry from the Alexandria database. Energies are from PBE-GGA.

Lattice parameters (Å, degrees): 3.6206 3.6206 27.1789 90.00 90.00 120.00
Space group P-6m2 (No. 187)
Symmetry-distinct sites (fractional):
Pm  0.0000  0.0000  0.0631 (multiplicity 2)
Pm  0.0000  0.0000  0.2782 (multiplicity 2)
Pm  0.3333  0.6667  0.3891 (multiplicity 2)
Nd  0.0000  0.0000  0.5000 (multiplicity 1)
Th  0.3333  0.6667  0.1692 (multiplicity 2)

Properties
Total magnetic moment in μB per formula unit: 0.00
DOS(E_F) in states/eV/atom: 1.95
DFT total energy in eV/cell: -47.42
Theoretical density in g cm⁻³: 8.0

=====

Here is crystalline Pm5Nd6Th2 at its relaxed geometry from the Alexandria database. Energies are from PBE-GGA.

Lattice parameters (Å, degrees): 11.746 21.298 3.651 90.00 90.00 90.00
Space group Pbam (No. 55)
Symmetry-distinct sites (fractional):
Pm  0.000  0.000  0.000 (multiplicity 2)
Pm  0.063  0.293  0.000 (multiplicity 4)
Pm  0.187  0.582  0.000 (multiplicity 4)
Nd  0.067  0.146  0.500 (multiplicity 4)
Nd  0.083  0.438  0.500 (multiplicity 4)
Nd  0.183  0.875  0.000 (multiplicity 4)
Th  0.191  0.734  0.500 (multiplicity 4)

Properties
Total magnetic moment in μB per formula unit: 0.00
DOS(E_F) in states/eV/atom: 1.35
DFT total energy in eV/cell: -131.42
Theoretical density in g cm⁻³: 7.5

=====

Here is crystalline Pm4Nd5Th at its relaxed geometry from the Alexandria database. Energies are from PBE-GGA.

Lattice parameters (Å, degrees): 18.997 3.657 10.383 90.00 105.94 90.00
Space group C2/m (No. 12)
Symmetry-distinct sites (fractional):
Pm  0.098  0.000  0.292 (multiplicity 4)
Pm  0.198  0.500  0.100 (multiplicity 4)
Nd  0.000  0.500  0.500 (multiplicity 2)
Nd  0.099  0.000  0.806 (multiplicity 4)
Nd  0.199  0.500  0.598 (multiplicity 4)
Th  0.000  0.500  0.000 (multiplicity 2)

Properties
Total magnetic moment in μB per formula unit: 0.00
DOS(E_F) in states/eV/atom: 1.47
Distance to the lowest polymorph of the same formula in eV/atom: 0.0000
DFT total energy in eV/cell: -100.03
Theoretical density in g cm⁻³: 7.3

=====

Here is crystalline Pm3Nd5Th at its relaxed geometry from the Alexandria database. Energies are from PBE-GGA.

Lattice parameters (Å, degrees): 8.038 8.038 19.621 90.00 90.00 90.00
Space group I4/mcm (No. 140)
Symmetry-distinct sites (fractional):
Pm  0.000  0.000  0.250 (multiplicity 4)
Pm  0.129  0.371  0.000 (multiplicity 8)
Nd  0.000  0.000  0.000 (multiplicity 4)
Nd  0.210  0.290  0.366 (multiplicity 16)
Th  0.000  0.500  0.250 (multiplicity 4)

Properties
Total magnetic moment in μB per formula unit: 0.00
DOS(E_F) in states/eV/atom: 1.58
DFT total energy in eV/cell: -171.78
Theoretical density in g cm⁻³: 7.3

=====

Here is crystalline Pm8NdTh4 at its relaxed geometry from the Alexandria database. Energies are from PBE-GGA.

Lattice parameters (Å, degrees): 11.2938 11.2938 13.4617 90.00 90.00 120.00
Space group R-3m (No. 166, hexagonal axes)
Symmetry-distinct sites (fractional):
Pm  0.0000  0.0000  0.2379 (multiplicity 6)
Pm  0.0119  0.5059  0.7406 (multiplicity 18)
Nd  0.0000  0.0000  0.5000 (multiplicity 3)
Th  0.0000  0.0000  0.0000 (multiplicity 3)
Th  0.0000  0.5000  0.0000 (multiplicity 9)

Properties
Total magnetic moment in μB per formula unit: 0.00
DOS(E_F) in states/eV/atom: 1.66
DFT total energy in eV/cell: -195.45
Theoretical density in g cm⁻³: 7.5

=====

Here is crystalline Pm4Nd10Th at its relaxed geometry from the Alexandria database. Energies are from PBE-GGA.

Lattice parameters (Å, degrees): 10.092 10.092 11.156 90.00 90.00 90.00
Space group I4/m (No. 87)
Symmetry-distinct sites (fractional):
Pm  0.061  0.284  0.000 (multiplicity 8)
Nd  0.000  0.500  0.250 (multiplicity 4)
Nd  0.120  0.223  0.329 (multiplicity 16)
Th  0.000  0.000  0.500 (multiplicity 2)

Properties
Total magnetic moment in μB per formula unit: 0.00
DOS(E_F) in states/eV/atom: 1.78
DFT total energy in eV/cell: -135.47
Theoretical density in g cm⁻³: 6.6

=====

Here is crystalline Pm2NdTh4 at its relaxed geometry from the Alexandria database. Energies are from PBE-GGA.

Lattice parameters (Å, degrees): 3.596 36.570 3.591 90.00 90.00 90.00
Space group Cmmm (No. 65)
Symmetry-distinct sites (fractional):
Pm  0.000  0.206  0.000 (multiplicity 4)
Nd  0.000  0.500  0.500 (multiplicity 2)
Th  0.000  0.072  0.000 (multiplicity 4)
Th  0.000  0.361  0.500 (multiplicity 4)

Properties
Total magnetic moment in μB per formula unit: 0.00
DOS(E_F) in states/eV/atom: 1.56
DFT total energy in eV/cell: -86.77
Theoretical density in g cm⁻³: 9.6

=====

Here is crystalline Pm2NdTh6 at its relaxed geometry from the Alexandria database. Energies are from PBE-GGA.

Lattice parameters (Å, degrees): 3.5586 3.5586 27.3029 90.00 90.00 120.00
Space group P-6m2 (No. 187)
Symmetry-distinct sites (fractional):
Pm  0.0000  0.0000  0.1703 (multiplicity 2)
Nd  0.3333  0.6667  0.5000 (multiplicity 1)
Th  0.0000  0.0000  0.3882 (multiplicity 2)
Th  0.3333  0.6667  0.0605 (multiplicity 2)
Th  0.3333  0.6667  0.2814 (multiplicity 2)

Properties
Total magnetic moment in μB per formula unit: 0.00
DOS(E_F) in states/eV/atom: 1.55
DFT total energy in eV/cell: -57.89
Theoretical density in g cm⁻³: 10.1

=====

Here is crystalline Pm7Nd12Th at its relaxed geometry from the Alexandria database. Energies are from PBE-GGA.

Lattice parameters (Å, degrees): 13.7103 13.7103 12.8211 90.00 90.00 120.00
Space group R-3m (No. 166, hexagonal axes)
Symmetry-distinct sites (fractional):
Pm  0.0000  0.0000  0.0000 (multiplicity 3)
Pm  0.0873  0.1747  0.2672 (multiplicity 18)
Nd  0.0000  0.2582  0.5000 (multiplicity 18)
Nd  0.0458  0.5229  0.6146 (multiplicity 18)
Th  0.0000  0.0000  0.5000 (multiplicity 3)

Properties
Total magnetic moment in μB per formula unit: 0.00
DOS(E_F) in states/eV/atom: 1.38
Distance to the lowest polymorph of the same formula in eV/atom: 0.0000
DFT total energy in eV/cell: -288.48
Theoretical density in g cm⁻³: 7.1

=====

Here is crystalline Pm6Nd5Th2 at its relaxed geometry from the Alexandria database. Energies are from PBE-GGA.

Lattice parameters (Å, degrees): 11.736 21.293 3.647 90.00 90.00 90.00
Space group Pbam (No. 55)
Symmetry-distinct sites (fractional):
Pm  0.065  0.147  0.000 (multiplicity 4)
Pm  0.082  0.438  0.000 (multiplicity 4)
Pm  0.185  0.875  0.500 (multiplicity 4)
Nd  0.000  0.000  0.500 (multiplicity 2)
Nd  0.062  0.294  0.500 (multiplicity 4)
Nd  0.189  0.581  0.500 (multiplicity 4)
Th  0.192  0.734  0.000 (multiplicity 4)

Properties
Total magnetic moment in μB per formula unit: 0.00
DOS(E_F) in states/eV/atom: 1.32
DFT total energy in eV/cell: -131.46
Theoretical density in g cm⁻³: 7.5

=====

Here is crystalline Pm5Nd4Th at its relaxed geometry from the Alexandria database. Energies are from PBE-GGA.

Lattice parameters (Å, degrees): 26.147 3.661 7.307 90.00 97.94 90.00
Space group C2/m (No. 12)
Symmetry-distinct sites (fractional):
Pm  0.000  0.000  0.000 (multiplicity 2)
Pm  0.097  0.500  0.305 (multiplicity 4)
Pm  0.200  0.000  0.099 (multiplicity 4)
Nd  0.097  0.500  0.792 (multiplicity 4)
Nd  0.201  0.000  0.601 (multiplicity 4)
Th  0.000  0.000  0.500 (multiplicity 2)

Properties
Total magnetic moment in μB per formula unit: 0.00
DOS(E_F) in states/eV/atom: 1.51
Distance to the lowest polymorph of the same formula in eV/atom: 0.0000
DFT total energy in eV/cell: -99.99
Theoretical density in g cm⁻³: 7.4

=====

Here is crystalline Pm5NdTh at its relaxed geometry from the Alexandria database. Energies are from PBE-GGA.

Lattice parameters (Å, degrees): 5.979 8.944 12.170 90.00 90.00 90.00
Space group Immm (No. 71)
Symmetry-distinct sites (fractional):
Pm  0.000  0.000  0.000 (multiplicity 2)
Pm  0.000  0.174  0.500 (multiplicity 4)
Pm  0.000  0.500  0.247 (multiplicity 4)
Nd  0.000  0.500  0.000 (multiplicity 2)
Th  0.000  0.500  0.500 (multiplicity 2)

Properties
Total magnetic moment in μB per formula unit: 0.00
DOS(E_F) in states/eV/atom: 1.93
DFT total energy in eV/cell: -57.16
Theoretical density in g cm⁻³: 5.6

=====

Here is crystalline PmNd8Th2 at its relaxed geometry from the Alexandria database. Energies are from PBE-GGA.

Lattice parameters (Å, degrees): 9.172 16.661 6.101 90.00 124.01 90.00
Space group C2/m (No. 12)
Symmetry-distinct sites (fractional):
Pm  0.000  0.000  0.000 (multiplicity 2)
Nd  0.000  0.206  0.000 (multiplicity 4)
Nd  0.078  0.500  0.793 (multiplicity 4)
Nd  0.219  0.118  0.681 (multiplicity 8)
Th  0.000  0.308  0.500 (multiplicity 4)

Properties
Total magnetic moment in μB per formula unit: 0.00
DOS(E_F) in states/eV/atom: 1.39
DFT total energy in eV/cell: -111.23
Theoretical density in g cm⁻³: 7.6

=====

Here is crystalline Pm2NdTh at its relaxed geometry from the Alexandria database. Energies are from PBE-GGA.

Lattice parameters (Å, degrees): 8.169 8.169 8.169 90.00 90.00 90.00
Space group Fm-3m (No. 225)
Symmetry-distinct sites (fractional):
Pm  0.250  0.250  0.250 (multiplicity 8)
Nd  0.000  0.000  0.000 (multiplicity 4)
Th  0.000  0.000  0.500 (multiplicity 4)

Properties
Total magnetic moment in μB per formula unit: 0.00
DOS(E_F) in states/eV/atom: 2.51
Distance to the lowest polymorph of the same formula in eV/atom: 0.1641
DFT total energy in eV/cell: -83.79
Theoretical density in g cm⁻³: 8.1